A relaxed TbSm2Dy3Sb6 crystal. Source: the Alexandria database, functional PBE.

Properties
SG: C2/m, No. 12
E (eV/atom): -5.53

a b c (Å): 4.4168 8.8308 9.8725
angles (deg): 102.87 102.93 90.00
Last column: nearest neighbours and their distance in Å.
Fractional positions:
Dy (0.5000, 0.5000, 0.0000)  6 Sb 3.10-3.12
Sb (0.6655, 0.5864, 0.3310)  3 Dy 3.10, 3 Sm 3.15
Sb (0.3345, 0.4136, 0.6690)  3 Dy 3.10, 3 Sm 3.15
Sb (0.9984, 0.2499, 0.9967)  3 Dy 3.10-3.12, 2 Tb 3.13, 1 Sm 3.15
Dy (0.1672, 0.8335, 0.3345)  6 Sb 3.10-3.11
Sb (0.6666, 0.0793, 0.3333)  3 Dy 3.10-3.11, 1 Tb 3.12, 2 Sm 3.15
Dy (0.8328, 0.1665, 0.6655)  6 Sb 3.10-3.11
Tb (0.5000, 0.0000, 0.0000)  6 Sb 3.12-3.13
Sb (0.3334, 0.9207, 0.6667)  3 Dy 3.10-3.11, 1 Tb 3.12, 2 Sm 3.15
Sb (0.0016, 0.7501, 0.0033)  3 Dy 3.10-3.12, 2 Tb 3.13, 1 Sm 3.15
Sm (0.1663, 0.3328, 0.3325)  6 Sb 3.15
Sm (0.8337, 0.6672, 0.6675)  6 Sb 3.15